[1]
## Nd4TlGaN (PBE-GGA)

Data for Nd4TlGaN after structural relaxation.

Cell lengths 6.9784, 15.8818, 6.9904 Å; angles 90.00, 90.00, 90.00 degrees
Last column: nearest neighbours and their distance in Å.
Space group Cmcm (No. 63)
Asymmetric unit:
Nd  0.0000  0.0781  0.2500  1 N 2.74
Nd  0.0000  0.4134  0.2500  1 N 2.58
Nd  0.2500  0.2500  0.0000  2 N 2.47
Tl  0.0000  0.3879  0.7500  9 Nd 3.15-3.53
Ga  0.0000  0.1192  0.7500  5 Nd 3.13-3.23
N  0.0000  0.2508  0.2500  6 Nd 2.47-2.74

=====

[2]
## NdTmGaN3 (PBE-GGA)

Data for NdTmGaN3 after structural relaxation.

Cell lengths 7.2302, 3.4225, 7.6296 Å; angles 90.00, 97.83, 90.00 degrees
Last column: nearest neighbours and their distance in Å.
Space group P2_1/m (No. 11)
Asymmetric unit:
Nd  0.1773  0.2500  0.1885  3 N 2.44-2.50
Tm  0.3602  0.7500  0.8501  5 N 2.21-2.40
Ga  0.1094  0.2500  0.6034  4 N 1.93-2.06
N  0.1313  0.2500  0.8582  1 Ga 1.93
N  0.1708  0.7500  0.4916  3 Ga 1.99-2.06
N  0.4070  0.7500  0.1427  3 Tm 2.21-2.40, 2 Nd 2.44

=====

[3]
## Nd2UGaN5 (PBE-GGA)

Data for Nd2UGaN5 after structural relaxation.

Cell lengths 3.4554, 14.1678, 10.4079 Å; angles 90.00, 90.00, 90.00 degrees
Last column: nearest neighbours and their distance in Å.
Space group Cmc2_1 (No. 36)
Asymmetric unit:
Nd  0.0000  0.1067  0.0000  6 N 2.49-2.78
Nd  0.0000  0.1241  0.6055  5 N 2.46-2.74
U  0.0000  0.2126  0.3142  6 N 2.17-2.24
Ga  0.0000  0.4859  0.7773  4 N 1.95-2.13
N  0.0000  0.0568  0.3517  2 Ga 1.99
N  0.0000  0.2833  0.9440  2 U 2.19
N  0.0000  0.2973  0.6854  2 U 2.19
N  0.0000  0.3660  0.3108  1 Ga 2.13, 1 U 2.17
N  0.0000  0.4986  0.0908  1 Ga 1.95

=====

[4]
## NdY2GaN (PBE-GGA)

Data for NdY2GaN after structural relaxation.

Cell lengths 4.7729, 4.7729, 4.9685 Å; angles 90.00, 90.00, 90.00 degrees
Last column: nearest neighbours and their distance in Å.
Space group P4/mmm (No. 123)
Asymmetric unit:
Nd  0.0000  0.0000  0.0000  2 N 2.48
Y  0.0000  0.5000  0.5000  2 N 2.39
Ga  0.5000  0.5000  0.0000  4 Nd 3.37, 8 Y 3.44
N  0.0000  0.0000  0.5000  4 Y 2.39, 2 Nd 2.48

=====

[5]
## GaNi3N (PBE-GGA)

Data for GaNi3N after structural relaxation.

Values from the calculation:
Relative energy among the computed polymorphs = 188.5 kJ/mol of atoms

Cell lengths 4.3213, 4.3213, 4.3213 Å; angles 90.00, 90.00, 90.00 degrees
Last column: nearest neighbours and their distance in Å.
Space group Pm-3m (No. 221)
Asymmetric unit:
Ga  0.0000  0.0000  0.0000  6 Ni 2.16
Ni  0.0000  0.0000  0.5000  2 Ga 2.16
N  0.5000  0.5000  0.5000  12 Ni 3.06

=====

[6]
## GaNi3N (PBE-GGA)

Data for GaNi3N after structural relaxation.

Values from the calculation:
Relative energy among the computed polymorphs = 0.0 kJ/mol of atoms

Cell lengths 3.7777, 3.7777, 3.7777 Å; angles 90.00, 90.00, 90.00 degrees
Last column: nearest neighbours and their distance in Å.
Space group Pm-3m (No. 221)
Asymmetric unit:
Ga  0.0000  0.0000  0.0000  12 Ni 2.67
Ni  0.0000  0.5000  0.5000  2 N 1.89
N  0.5000  0.5000  0.5000  6 Ni 1.89

=====

[7]
## GaNiN2 (PBE-GGA)

Data for GaNiN2 after structural relaxation.

Cell lengths 3.0007, 3.0007, 17.2470 Å; angles 90.00, 90.00, 120.00 degrees
Last column: nearest neighbours and their distance in Å.
Space group R-3m (No. 166, hexagonal axes)
Asymmetric unit:
Ga  0.0000  0.0000  0.0000  6 N 2.06
Ni  0.0000  0.0000  0.5000  2 N 1.75
N  0.0000  0.0000  0.3985  1 Ni 1.75

=====

[8]
## GaNiN3 (PBE-GGA)

Data for GaNiN3 after structural relaxation.

Cell lengths 3.6992, 3.6992, 3.6992 Å; angles 90.00, 90.00, 90.00 degrees
Last column: nearest neighbours and their distance in Å.
Space group Pm-3m (No. 221)
Asymmetric unit:
Ga  0.0000  0.0000  0.0000  12 N 2.62
Ni  0.5000  0.5000  0.5000  6 N 1.85
N  0.0000  0.5000  0.5000  2 Ni 1.85

=====

[9]
## GaNiN2 (PBE-GGA)

Data for GaNiN2 after structural relaxation.

Cell lengths 2.9471, 2.9471, 17.0952 Å; angles 90.00, 90.00, 120.00 degrees
Last column: nearest neighbours and their distance in Å.
Space group R-3m (No. 166, hexagonal axes)
Asymmetric unit:
Ga  0.0000  0.0000  0.0000  2 N 1.90
Ni  0.0000  0.0000  0.5000  6 N 1.95
N  0.0000  0.0000  0.1112  1 Ga 1.90, 3 Ni 1.95

=====

[10]
## Ga3NiN (PBE-GGA)

Data for Ga3NiN after structural relaxation.

Values from the calculation:
Relative energy among the computed polymorphs = 19.4 kJ/mol of atoms

Cell lengths 4.4936, 4.4936, 4.4936 Å; angles 90.00, 90.00, 90.00 degrees
Last column: nearest neighbours and their distance in Å.
Space group Pm-3m (No. 221)
Asymmetric unit:
Ga  0.0000  0.0000  0.5000  2 Ni 2.25
Ni  0.0000  0.0000  0.0000  6 Ga 2.25
N  0.5000  0.5000  0.5000  12 Ga 3.18

=====

[11]
## GaNiN3 (PBE-GGA)

Data for GaNiN3 after structural relaxation.

Cell lengths 3.7967, 3.7967, 3.7967 Å; angles 90.00, 90.00, 90.00 degrees
Last column: nearest neighbours and their distance in Å.
Space group Pm-3m (No. 221)
Asymmetric unit:
Ga  0.0000  0.0000  0.0000  6 N 1.90
Ni  0.5000  0.5000  0.5000  12 N 2.68
N  0.0000  0.0000  0.5000  2 Ga 1.90

=====

[12]
## Ga3NiN (PBE-GGA)

Data for Ga3NiN after structural relaxation.

Values from the calculation:
Relative energy among the computed polymorphs = 0.0 kJ/mol of atoms

Cell lengths 4.1659, 4.1659, 4.1659 Å; angles 90.00, 90.00, 90.00 degrees
Last column: nearest neighbours and their distance in Å.
Space group Pm-3m (No. 221)
Asymmetric unit:
Ga  0.0000  0.0000  0.5000  2 N 2.08
Ni  0.5000  0.5000  0.5000  12 Ga 2.95
N  0.0000  0.0000  0.0000  6 Ga 2.08

=====

| no. | formation energy (no corrections) (eV per atom) |
| --- | --- |
| 1 | -0.625 |
| 2 | -0.996 |
| 3 | -1.119 |
| 4 | -0.919 |
| 5 | 1.822 |
| 6 | -0.132 |
| 7 | 0.562 |
| 8 | 1.623 |
| 9 | 0.519 |
| 10 | 0.732 |
| 11 | 1.994 |
| 12 | 0.531 |